1.
Density functional theory data (PBE) for Ce6OsC3 after structural relaxation.

a b c (Å): 10.8745 3.6145 11.1681
angles (deg): 90.00 113.69 90.00
Last column: nearest neighbours and their distance in Å.
Sites, in units of the cell vectors:
Ce 0.0214 0.2500 0.3666  2 C 2.72, 3 Os 2.79-3.03
Ce 0.1228 0.7500 0.9871  3 C 2.46-2.63
Ce 0.2306 0.2500 0.7840  3 C 2.51-2.53
Ce 0.2369 0.7500 0.2672  3 C 2.53-2.58
Ce 0.4098 0.2500 0.5749  3 C 2.51-2.52, 2 Os 2.78
Ce 0.4500 0.2500 0.1164  4 C 2.51-2.81
Ce 0.5500 0.7500 0.8836  4 C 2.51-2.81
Ce 0.5902 0.7500 0.4251  3 C 2.51-2.52, 2 Os 2.78
Ce 0.7631 0.2500 0.7328  3 C 2.53-2.58
Ce 0.7694 0.7500 0.2160  3 C 2.51-2.53
Ce 0.8772 0.2500 0.0129  3 C 2.46-2.63
Ce 0.9786 0.7500 0.6334  2 C 2.72, 3 Os 2.79-3.03
Os 0.2033 0.7500 0.5382  5 Ce 2.78-3.03
Os 0.7967 0.2500 0.4618  5 Ce 2.78-3.03
C 0.0224 0.2500 0.8288  6 Ce 2.46-2.72
C 0.3468 0.7500 0.9502  6 Ce 2.51-2.63
C 0.4134 0.2500 0.3513  6 Ce 2.51-2.81
C 0.5866 0.7500 0.6487  6 Ce 2.51-2.81
C 0.6532 0.2500 0.0498  6 Ce 2.51-2.63
C 0.9776 0.7500 0.1712  6 Ce 2.46-2.72

Output
- Crystal system: monoclinic
- Space-group type: P2_1/m, No. 11
- Energy of formation: -0.09 eV/atom
- Calculated volume: 20.10 Å³/atom
- Total magnetization: 2.941 μB per cell

2.
Density functional theory data (PBE) for Tb2Al3Pd4 after structural relaxation.

a b c (Å): 8.1806 8.1806 7.6336
angles (deg): 90.00 90.00 139.92
Last column: nearest neighbours and their distance in Å.
Sites, in units of the cell vectors:
Tb 0.1078 0.8922 0.9135  8 Pd 3.01-3.32, 4 Al 3.13-3.32
Tb 0.3922 0.6078 0.4135  8 Pd 3.01-3.32, 4 Al 3.13-3.32
Tb 0.6078 0.3922 0.5865  8 Pd 3.01-3.32, 4 Al 3.13-3.32
Tb 0.8922 0.1078 0.0865  8 Pd 3.01-3.32, 4 Al 3.13-3.32
Al 0.0000 0.0000 0.5000  6 Pd 2.55-2.82
Al 0.0207 0.4793 0.7500  5 Pd 2.57-2.62, 2 Al 2.80
Al 0.4793 0.0207 0.2500  5 Pd 2.57-2.62, 2 Al 2.80
Al 0.5000 0.5000 0.0000  6 Pd 2.55-2.82
Al 0.5207 0.9793 0.7500  5 Pd 2.57-2.62, 2 Al 2.80
Al 0.9793 0.5207 0.2500  5 Pd 2.57-2.62, 2 Al 2.80
Pd 0.1829 0.8171 0.5210  5 Al 2.60-2.82
Pd 0.1882 0.3118 0.7500  3 Al 2.55-2.57, 2 Pd 2.80
Pd 0.3118 0.1882 0.2500  3 Al 2.55-2.57, 2 Pd 2.80
Pd 0.3171 0.6829 0.0210  5 Al 2.60-2.82
Pd 0.6829 0.3171 0.9790  5 Al 2.60-2.82
Pd 0.6882 0.8118 0.7500  3 Al 2.55-2.57, 2 Pd 2.80
Pd 0.8118 0.6882 0.2500  3 Al 2.55-2.57, 2 Pd 2.80
Pd 0.8171 0.1829 0.4790  5 Al 2.60-2.82

Output
- Crystal system: orthorhombic
- Space-group type: Cmce, No. 64
- Energy of formation: -0.91 eV/atom
- Calculated volume: 18.27 Å³/atom
- Total magnetization: 0.000 μB per cell

3.
Density functional theory data (PBE) for TaPF2 after structural relaxation.

a b c (Å): 2.7595 2.7595 31.5148
angles (deg): 90.00 90.00 120.00
Last column: nearest neighbours and their distance in Å.
Sites, in units of the cell vectors:
Ta 0.0000 0.0000 0.0000  6 F 2.22
Ta 0.3333 0.6667 0.6667  6 F 2.22
Ta 0.6667 0.3333 0.3333  6 F 2.22
P 0.0000 0.0000 0.5000  6 P 2.76
P 0.3333 0.6667 0.1667  6 P 2.76
P 0.6667 0.3333 0.8333  6 P 2.76
F 0.0000 0.0000 0.3824  3 Ta 2.22
F 0.0000 0.0000 0.6176  3 Ta 2.22
F 0.3333 0.6667 0.0491  3 Ta 2.22
F 0.3333 0.6667 0.2843  3 Ta 2.22
F 0.6667 0.3333 0.7157  3 Ta 2.22
F 0.6667 0.3333 0.9509  3 Ta 2.22

Output
- Energy relative to the elements, uncorrected: -1.169 eV/atom
- Crystal system: trigonal
- Space-group type: R-3m, No. 166
- Calculated volume: 17.32 Å³/atom
- Total magnetization: 0.000 μB per cell
- ΔE to the lowest computed polymorph: 45 meV/atom

4.
Density functional theory data (PBE) for CsLiUTe4 after structural relaxation.

a b c (Å): 7.7752 6.2334 10.7805
angles (deg): 90.00 107.56 90.00
Last column: nearest neighbours and their distance in Å.
Sites, in units of the cell vectors:
Cs 0.2286 0.2500 0.0502  8 Te 3.73-4.17
Cs 0.7714 0.7500 0.9498  8 Te 3.73-4.17
Li 0.2722 0.7500 0.3273  4 Te 2.64-2.73
Li 0.7278 0.2500 0.6727  4 Te 2.64-2.73
U 0.2689 0.2500 0.5553  6 Te 2.94-3.23
U 0.7311 0.7500 0.4447  6 Te 2.94-3.23
Te 0.0162 0.5069 0.6844  1 Li 2.73, 1 Te 3.03
Te 0.0162 0.9931 0.6844  1 Li 2.73, 1 Te 3.03
Te 0.4373 0.7500 0.5832  1 Li 2.67
Te 0.4852 0.7500 0.1775  1 Li 2.64, 1 U 2.94
Te 0.5148 0.2500 0.8225  1 Li 2.64, 1 U 2.94
Te 0.5627 0.2500 0.4168  1 Li 2.67
Te 0.9838 0.0069 0.3156  1 Li 2.73, 1 Te 3.03
Te 0.9838 0.4931 0.3156  1 Li 2.73, 1 Te 3.03

Output
- Energy relative to the elements, uncorrected: -0.748 eV/atom
- Crystal system: monoclinic
- Space-group type: P2_1/m, No. 11
- Calculated volume: 35.58 Å³/atom
- Total magnetization: 2.348 μB per cell

5.
Density functional theory data (PBE) for Pa2Tl3BiO9 after structural relaxation.

a b c (Å): 6.1745 6.1745 7.5678
angles (deg): 90.00 90.00 120.00
Last column: nearest neighbours and their distance in Å.
Sites, in units of the cell vectors:
Pa 0.3333 0.6667 0.1702  6 O 2.18-2.20
Pa 0.6667 0.3333 0.8298  6 O 2.18-2.20
Tl 0.0000 0.0000 0.0000  12 O 3.09
Tl 0.3333 0.6667 0.6637  12 O 3.07-3.11
Tl 0.6667 0.3333 0.3363  12 O 3.07-3.11
Bi 0.0000 0.0000 0.5000  6 O 2.17
O 0.0000 0.5000 0.0000  2 Pa 2.20
O 0.1658 0.3316 0.3338  1 Bi 2.17, 1 Pa 2.18
O 0.1658 0.8342 0.3338  1 Bi 2.17, 1 Pa 2.18
O 0.3316 0.1658 0.6662  1 Bi 2.17, 1 Pa 2.18
O 0.5000 0.0000 0.0000  2 Pa 2.20
O 0.5000 0.5000 0.0000  2 Pa 2.20
O 0.6684 0.8342 0.3338  1 Bi 2.17, 1 Pa 2.18
O 0.8342 0.1658 0.6662  1 Bi 2.17, 1 Pa 2.18
O 0.8342 0.6684 0.6662  1 Bi 2.17, 1 Pa 2.18

Output
- Energy relative to the elements, uncorrected: -2.095 eV/atom
- Crystal system: trigonal
- Space-group type: P-3m1, No. 164
- Calculated volume: 16.66 Å³/atom
- Total magnetization: 0.000 μB per cell

6.
Density functional theory data (PBE) for IrC2 after structural relaxation.

a b c (Å): 6.7504 2.7722 7.5993
angles (deg): 90.00 101.81 90.00
Last column: nearest neighbours and their distance in Å.
Sites, in units of the cell vectors:
Ir 0.1580 0.0000 0.2901  6 C 2.06-2.12
Ir 0.3420 0.5000 0.7099  6 C 2.06-2.12
Ir 0.6580 0.5000 0.2901  6 C 2.06-2.12
Ir 0.8420 0.0000 0.7099  6 C 2.06-2.12
C 0.0983 0.5000 0.4832  1 C 1.40
C 0.1522 0.0000 0.7905  3 Ir 2.06
C 0.3478 0.5000 0.2095  3 Ir 2.06
C 0.4017 0.0000 0.5168  1 C 1.40
C 0.5983 0.0000 0.4832  1 C 1.40
C 0.6522 0.5000 0.7905  3 Ir 2.06
C 0.8478 0.0000 0.2095  3 Ir 2.06
C 0.9017 0.5000 0.5168  1 C 1.40

Output
- Crystal system: monoclinic
- Space-group type: C2/m, No. 12
- Energy of formation: 1.30 eV/atom
- Calculated volume: 11.60 Å³/atom
- Total magnetization: 0.000 μB per cell
- ΔE to the lowest computed polymorph: 709 meV/atom

7.
Density functional theory data (PBE) for Be2FeHgMo after structural relaxation.

a b c (Å): 4.2320 4.2320 5.1735
angles (deg): 90.00 90.00 90.00
Last column: nearest neighbours and their distance in Å.
Sites, in units of the cell vectors:
Be 0.0000 0.5000 0.0000  2 Hg 2.12
Be 0.5000 0.0000 0.0000  2 Hg 2.12
Fe 0.0000 0.0000 0.5000  4 Mo 2.99, 8 Be 3.34
Hg 0.5000 0.5000 0.0000  4 Be 2.12
Mo 0.5000 0.5000 0.5000  2 Hg 2.59

Output
- Crystal system: tetragonal
- Space-group type: P4/mmm, No. 123
- Energy of formation: 1.64 eV/atom
- Calculated volume: 18.53 Å³/atom
- Total magnetization: 2.998 μB per cell

8.
Density functional theory data (PBE) for K2Pu3Br10 after structural relaxation.

a b c (Å): 13.9701 13.9701 11.2106
angles (deg): 109.79 109.79 35.54
Last column: nearest neighbours and their distance in Å.
Sites, in units of the cell vectors:
K 0.1276 0.1276 0.1679  3 Br 3.33-3.37
K 0.2386 0.2386 0.8904  5 Br 3.40-3.53
K 0.7614 0.7614 0.1096  5 Br 3.40-3.53
K 0.8724 0.8724 0.8321  3 Br 3.33-3.37
Pu 0.2424 0.7576 0.5000  6 Br 2.89-2.99
Pu 0.3188 0.3188 0.4700  6 Br 2.82-2.95
Pu 0.4220 0.4220 0.0254  6 Br 2.85-3.07
Pu 0.5780 0.5780 0.9746  6 Br 2.85-3.07
Pu 0.6812 0.6812 0.5300  6 Br 2.82-2.95
Pu 0.7576 0.2424 0.5000  6 Br 2.89-2.99
Br 0.0000 0.5000 0.5000  2 Pu 2.91
Br 0.0095 0.0095 0.6866  2 Pu 2.89
Br 0.1073 0.5947 0.0375  1 Pu 2.85
Br 0.1234 0.6456 0.4427  2 Pu 2.91
Br 0.2576 0.2576 0.2067  1 Pu 2.82
Br 0.2672 0.7328 0.0000  2 Pu 2.96
Br 0.3544 0.8766 0.5573  2 Pu 2.91
Br 0.3668 0.3668 0.7516  2 Pu 2.89-2.95
Br 0.4053 0.8927 0.9625  1 Pu 2.85
Br 0.4893 0.4893 0.3121  3 Pu 2.99-3.07
Br 0.5000 0.0000 0.5000  2 Pu 2.91
Br 0.5107 0.5107 0.6879  3 Pu 2.99-3.07
Br 0.5947 0.1073 0.0375  1 Pu 2.85
Br 0.6332 0.6332 0.2484  2 Pu 2.89-2.95
Br 0.6456 0.1234 0.4427  2 Pu 2.91
Br 0.7328 0.2672 0.0000  2 Pu 2.96
Br 0.7424 0.7424 0.7933  1 Pu 2.82
Br 0.8766 0.3544 0.5573  2 Pu 2.91
Br 0.8927 0.4053 0.9625  1 Pu 2.85
Br 0.9905 0.9905 0.3134  2 Pu 2.89

Output
- Energy relative to the elements, uncorrected: -1.563 eV/atom
- Crystal system: monoclinic
- Space-group type: C2/m, No. 12
- Calculated volume: 39.62 Å³/atom
- Total magnetization: 10.367 μB per cell

9.
Density functional theory data (PBE) for TbDy2Er4Mg after structural relaxation.

a b c (Å): 4.9158 4.9270 9.9482
angles (deg): 90.00 90.00 90.00
Last column: nearest neighbours and their distance in Å.
Sites, in units of the cell vectors:
Tb 0.0000 0.0000 0.0000  4 Dy 3.48, 8 Er 3.51
Dy 0.0000 0.0000 0.5000  4 Mg 3.48, 8 Er 3.48-3.49
Dy 0.5000 0.5000 0.0000  4 Tb 3.48, 8 Er 3.51
Er 0.0000 0.5000 0.2517  4 Er 3.48, 2 Mg 3.48, 4 Dy 3.49-3.51, 2 Tb 3.51
Er 0.0000 0.5000 0.7483  4 Er 3.48, 2 Mg 3.48, 4 Dy 3.49-3.51, 2 Tb 3.51
Er 0.5000 0.0000 0.2519  4 Er 3.48, 4 Dy 3.48-3.51, 2 Mg 3.49, 2 Tb 3.51
Er 0.5000 0.0000 0.7481  4 Er 3.48, 4 Dy 3.48-3.51, 2 Mg 3.49, 2 Tb 3.51
Mg 0.5000 0.5000 0.5000  4 Dy 3.48, 8 Er 3.48-3.49

Output
- Crystal system: orthorhombic
- Space-group type: Pmmm, No. 47
- Energy of formation: 0.02 eV/atom
- Calculated volume: 30.12 Å³/atom
- Total magnetization: 0.000 μB per cell

10.
Density functional theory data (PBE) for PmTlBr after structural relaxation.

a b c (Å): 7.9713 4.6036 11.2567
angles (deg): 90.00 91.61 90.00
Last column: nearest neighbours and their distance in Å.
Sites, in units of the cell vectors:
Pm 0.0080 0.0000 0.1979  3 Tl 3.11, 3 Br 3.11
Pm 0.4920 0.5000 0.8021  3 Tl 3.11, 3 Br 3.11
Pm 0.5080 0.5000 0.1979  3 Tl 3.11, 3 Br 3.11
Pm 0.9920 0.0000 0.8021  3 Tl 3.11, 3 Br 3.11
Tl 0.1645 0.5000 0.9457  3 Tl 2.92-2.93, 3 Pm 3.11
Tl 0.3355 0.0000 0.0543  3 Tl 2.92-2.93, 3 Pm 3.11
Tl 0.6645 0.0000 0.9457  3 Tl 2.92-2.93, 3 Pm 3.11
Tl 0.8355 0.5000 0.0543  3 Tl 2.92-2.93, 3 Pm 3.11
Br 0.1802 0.5000 0.3421  3 Pm 3.11
Br 0.3198 0.0000 0.6579  3 Pm 3.11
Br 0.6802 0.0000 0.3421  3 Pm 3.11
Br 0.8198 0.5000 0.6579  3 Pm 3.11

Output
- Energy relative to the elements, uncorrected: -0.949 eV/atom
- Crystal system: monoclinic
- Space-group type: C2/m, No. 12
- Calculated volume: 34.41 Å³/atom
- Total magnetization: 0.000 μB per cell
- ΔE to the lowest computed polymorph: 0 meV/atom